Entry 1:
Compound: Er4Ge8Ru
Source: Alexandria
Functional: PBE-GGA
Structure: relaxed

Cell lengths 3.9960, 4.1248, 16.0668 Å; angles 90.00, 90.00, 90.00 degrees
Closest atoms and distances in Å follow each position.
Sites, in units of the cell vectors:
Er 0.0000 0.0000 0.0960  10 Ge 2.92-3.25
Er 0.0000 0.5000 0.6101  10 Ge 2.94-3.10
Er 0.5000 0.5000 0.3994  10 Ge 3.07-3.43, 4 Ru 3.17
Er 0.5000 0.0000 0.8947  10 Ge 2.96-3.21
Ge 0.0000 0.0000 0.4662  1 Ru 2.43, 2 Ge 2.60
Ge 0.0000 0.5000 0.9399  2 Ge 2.64
Ge 0.5000 0.5000 0.0476  2 Ge 2.64
Ge 0.5000 0.0000 0.5699  2 Ge 2.60
Ge 0.0000 0.5000 0.2305  2 Ru 2.47
Ge 0.0000 0.0000 0.7500  4 Ge 2.87, 4 Er 3.05-3.06
Ge 0.5000 0.0000 0.2287  2 Ru 2.43
Ge 0.5000 0.5000 0.7548  4 Ge 2.87, 4 Er 3.05-3.07
Ru 0.0000 0.0000 0.3151  5 Ge 2.43-2.47

## Properties
Its space group is Pmm2, No. 25. The calculation puts the formation energy at -577 meV/atom.



Entry 2:
Compound: CdReCl2
Source: Alexandria
Functional: PBE-GGA
Structure: relaxed

Cell lengths 4.9960, 4.9960, 4.9960 Å; angles 60.00, 60.00, 60.00 degrees
Closest atoms and distances in Å follow each position.
Sites, in units of the cell vectors:
Re 0.7500 0.7500 0.7500  4 Cd 3.06, 4 Cl 3.06
Cl 0.0000 0.0000 0.0000  4 Re 3.06, 4 Cl 3.06
Cl 0.2500 0.2500 0.2500  4 Cd 3.06, 4 Cl 3.06
Cd 0.5000 0.5000 0.5000  4 Cl 3.06, 4 Re 3.06

## Properties
Its space group is F-43m, No. 216. The excess energy over the best structure of this formula in the dataset is 987 meV per atom.



Entry 3:
Compound: Tb2PmErSe4
Source: Alexandria
Functional: PBE-GGA
Structure: relaxed

Cell lengths 4.0514, 7.0863, 7.2110 Å; angles 71.23, 90.00, 90.00 degrees
Closest atoms and distances in Å follow each position.
Sites, in units of the cell vectors:
Tb 0.0000 0.0000 0.0000  6 Se 2.93
Tb 0.5000 0.0000 0.5000  6 Se 2.87
Pm 0.5000 0.5000 0.0000  6 Se 2.94
Er 0.0000 0.5000 0.5000  6 Se 2.88
Se 0.0000 0.7542 0.7417  3 Tb 2.87-2.93, 1 Er 2.88, 2 Pm 2.94
Se 0.0000 0.2458 0.2583  3 Tb 2.87-2.93, 1 Er 2.88, 2 Pm 2.94
Se 0.5000 0.7489 0.2572  3 Tb 2.87-2.93, 2 Er 2.88, 1 Pm 2.94
Se 0.5000 0.2511 0.7428  3 Tb 2.87-2.93, 2 Er 2.88, 1 Pm 2.94

## Properties
Its space group is P2/m, No. 10. The final energy is -5.83 eV per atom.



Entry 4:
Compound: CePRuRh
Source: Alexandria
Functional: PBE-GGA
Structure: relaxed

Cell lengths 4.1478, 4.0412, 4.9577 Å; angles 114.05, 90.00, 90.00 degrees
Closest atoms and distances in Å follow each position.
Sites, in units of the cell vectors:
Ce 0.5000 0.2012 0.4024  1 Rh 2.42
P 0.0000 0.5935 0.1869  2 Ru 2.33, 2 Rh 2.36
Ru 0.0000 0.9643 0.9286  2 P 2.33
Rh 0.5000 0.4689 0.9377  2 P 2.36, 1 Ce 2.42

## Properties
Its space group is Amm2, No. 38. The calculation puts the formation energy at -655 meV/atom.



Entry 5:
Compound: CaCo3Hg
Source: Alexandria
Functional: PBE-GGA
Structure: relaxed

Cell lengths 4.8450, 4.8450, 4.8450 Å; angles 90.00, 90.00, 90.00 degrees
Closest atoms and distances in Å follow each position.
Sites, in units of the cell vectors:
Ca 0.5000 0.5000 0.5000  12 Co 3.43
Co 0.0000 0.5000 0.0000  2 Hg 2.42
Co 0.0000 0.0000 0.5000  2 Hg 2.42
Co 0.5000 0.0000 0.0000  2 Hg 2.42
Hg 0.0000 0.0000 0.0000  6 Co 2.42

## Properties
Its space group is Pm-3m, No. 221. The calculation puts the formation energy at 1141 meV/atom. The excess energy over the best structure of this formula in the dataset is 0 meV per atom.



Entry 6:
Compound: BaHgS
Source: Alexandria
Functional: PBE-GGA
Structure: relaxed

Cell lengths 6.4624, 4.3753, 15.0513 Å; angles 90.00, 97.20, 90.00 degrees
Closest atoms and distances in Å follow each position.
Sites, in units of the cell vectors:
S 0.5741 0.0000 0.5544  2 Hg 2.94-2.98, 4 Ba 3.07-3.20
S 0.5741 0.5000 0.0544  2 Hg 2.94-2.98, 4 Ba 3.07-3.20
S 0.6859 0.0000 0.8144  3 Ba 2.98-3.07, 3 Hg 3.06-3.15
S 0.6859 0.5000 0.3144  3 Ba 2.98-3.07, 3 Hg 3.06-3.15
Hg 0.9191 0.0000 0.4408  3 S 2.98-3.15
Hg 0.9191 0.5000 0.9408  3 S 2.98-3.15
Hg 0.2770 0.0000 0.6874  2 S 2.94-3.06
Hg 0.2770 0.5000 0.1874  2 S 2.94-3.06
Ba 0.3537 0.0000 0.9349  3 S 2.98-3.07
Ba 0.3537 0.5000 0.4349  3 S 2.98-3.07
Ba 0.8062 0.0000 0.1868  4 S 3.07-3.20
Ba 0.8062 0.5000 0.6868  4 S 3.07-3.20

## Properties
Its space group is Cm, No. 8. The excess energy over the best structure of this formula in the dataset is 83 meV per atom.



Entry 7:
Compound: CePuSe2
Source: Alexandria
Functional: PBE-GGA
Structure: relaxed

Cell lengths 4.1729, 4.1729, 7.2580 Å; angles 73.29, 73.29, 60.00 degrees
Closest atoms and distances in Å follow each position.
Sites, in units of the cell vectors:
Se 0.2477 0.2477 0.2570  3 Pu 2.93, 3 Ce 2.98
Se 0.7523 0.7523 0.7430  3 Pu 2.93, 3 Ce 2.98
Ce 0.0000 0.0000 0.0000  6 Se 2.98
Pu 0.5000 0.5000 0.5000  6 Se 2.93

## Properties
Its space group is R-3m, No. 166. The excess energy over the best structure of this formula in the dataset is 1 meV per atom.



Entry 8:
Compound: K3Sm3GeO8
Source: Alexandria
Functional: PBE-GGA
Structure: relaxed

Cell lengths 6.8951, 6.8956, 7.4665 Å; angles 117.51, 90.00, 120.00 degrees
Closest atoms and distances in Å follow each position.
Sites, in units of the cell vectors:
K 0.0000 0.0000 0.0000  6 O 2.80-2.81
K 0.0000 0.5000 0.0000  6 O 2.80-2.81
K 0.5000 0.5000 0.0000  6 O 2.80-2.81
Sm 0.5000 0.0000 0.5000  6 O 2.31-2.40
Sm 0.5000 0.5000 0.5000  6 O 2.31-2.40
Sm 0.0000 0.5000 0.5000  6 O 2.31-2.40
Ge 0.0000 0.0000 0.5000  6 O 2.03
O 0.2711 0.5421 0.3133  3 Sm 2.31
O 0.7289 0.4579 0.6867  3 Sm 2.31
O 0.7994 0.5988 0.3296  1 Ge 2.03
O 0.2006 0.4012 0.6704  1 Ge 2.03
O 0.7994 0.0300 0.3295  1 Ge 2.03
O 0.2006 0.9700 0.6705  1 Ge 2.03
O 0.2307 0.0300 0.3295  1 Ge 2.03
O 0.7693 0.9700 0.6705  1 Ge 2.03

## Properties
Its space group is R-3m, No. 166. The final energy is -6.52 eV per atom.